Computed, not measured: a relaxed structure of PuScFe2O6 at the PBE with a Hubbard U level of DFT.

Structure (POSCAR):
```
PuScFe2O6
1.0
5.4143 -0.0035 -0.0395
2.7038 4.7144 -0.0338
2.6694 1.5577 4.8435
Pu Sc Fe O
1 1 2 6
Cartesian
2.7077 1.5851 0.1867
8.1101 4.7093 2.6301
5.3942 3.1506 2.0506
2.6702 1.5047 4.5553
4.5382 1.4548 1.2699
4.2798 4.7462 1.1686
7.3095 3.2773 1.2019
6.2521 4.5217 3.5702
6.2243 1.6463 3.6667
3.7448 3.1766 3.6497
```

- DFT total energy (eV per atom) = -8.540
- symmetry = P1 (1)
- crystal system = triclinic